VCo2H4 | PBE | optimized geometry

Computed properties:
M_tot	0.4309	μB/atom
SG	No. 227
D(E_F)	5.4	states/eV per cell
VASP energy	-5.20	eV per atom

Unit cell a=5.126 b=5.126 c=5.126 alpha=60.00 beta=60.00 gamma=60.00
Element x y z (fractional)
V 0.125 0.125 0.125
V 0.875 0.875 0.875
Co 0.000 0.500 0.500
Co 0.500 0.000 0.500
Co 0.500 0.500 0.000
Co 0.500 0.500 0.500
H 0.270 0.270 0.270
H 0.270 0.270 0.691
H 0.270 0.691 0.270
H 0.309 0.730 0.730
H 0.691 0.270 0.270
H 0.730 0.309 0.730
H 0.730 0.730 0.309
H 0.730 0.730 0.730